Version a
The following is a PBE-GGA calculation of a geometry-optimized La2DyPa structure, from the Alexandria database.

Cell and atoms, written as POSCAR:
```
La2DyPa
1.0
-2.0269 -1.9931 1.8203
1.3240 -2.2657 2.1232
-0.3712 7.1334 10.5271
La Dy Pa
2 1 1
direct
0.0839 0.0839 0.7482
0.9161 0.9161 0.2518
0.5000 0.5000 0.5000
0.0000 0.0000 0.0000
```

Results
As for the crystal system: trigonal. Its space-group type is R-3m (166).



Version b
The following is a PBE-GGA calculation of a geometry-optimized La2DyPa structure, from the Alexandria database.

Cell and atoms, written as POSCAR:
```
La2DyPa
1.0
4.9723 0.0000 0.0000
0.0000 5.0178 0.0000
0.0000 0.0000 5.0178
Dy La Pa
1 2 1
direct
0.5000 0.0000 0.0000
0.0000 0.5000 0.0000
0.0000 0.0000 0.5000
0.5000 0.5000 0.5000
```

Results
As for the crystal system: tetragonal. Its space-group type is P4/mmm (123).



Version c
The following is a PBE-GGA calculation of a geometry-optimized La2DyPa structure, from the Alexandria database.

Cell and atoms, written as POSCAR:
```
La2DyPa
1.0
-1.4749 -1.2550 2.8778
3.1206 -0.2369 1.4960
-1.0376 9.7078 3.7018
La Dy Pa
2 1 1
direct
0.0000 0.0000 0.2286
0.0000 0.0000 0.7714
0.5000 0.5000 0.5000
0.5000 0.5000 0.0000
```

Results
As for the crystal system: tetragonal. Its space-group type is P4/mmm (123).



Least stable = version a



Version a
The following is a PBE-GGA calculation of a geometry-optimized LaDyPa structure, from the Alexandria database.

Cell and atoms, written as POSCAR:
```
LaDyPa
1.0
5.6220 0.0000 0.0000
2.8110 5.8116 -1.2505
2.8110 -0.8889 5.8778
La Dy Pa
2 2 2
direct
0.0000 0.1618 0.8382
0.0000 0.8382 0.1618
0.5000 0.6668 0.3332
0.5000 0.3332 0.6668
0.1974 0.3026 0.3026
0.8026 0.6974 0.6974
```

Results
As for the crystal system: orthorhombic. Its space-group type is Immm (71).



Version b
The following is a PBE-GGA calculation of a geometry-optimized LaDyPa structure, from the Alexandria database.

Cell and atoms, written as POSCAR:
```
LaDyPa
1.0
3.4084 0.0000 0.0000
0.0000 3.4084 0.0000
-1.7042 -1.7042 7.8267
Pa Dy La
1 1 1
direct
0.3321 0.3321 0.6642
0.6815 0.6815 0.3630
0.9864 0.9864 0.9729
```

Results
As for the crystal system: tetragonal. Its space-group type is I4mm (107).



Least stable = version a



Version a
The following is a PBE-GGA calculation of a geometry-optimized La2DyPb structure, from the Alexandria database.

Cell and atoms, written as POSCAR:
```
La2DyPb
1.0
3.8085 0.0000 0.0000
1.9043 3.2983 0.0000
1.9043 1.0994 10.7751
La Dy Pb
2 1 1
direct
0.2524 0.2524 0.2427
0.0808 0.0808 0.7577
0.5004 0.5004 0.4987
0.6664 0.6664 0.0009
```

Results
As for the crystal system: trigonal. Its space-group type is R3m (160).



Version b
The following is a PBE-GGA calculation of a geometry-optimized La2DyPb structure, from the Alexandria database.

Cell and atoms, written as POSCAR:
```
La2DyPb
1.0
-2.0888 -3.5713 5.5192
-5.0386 -4.8676 -0.7464
2.9219 -6.2645 1.3625
Pb La Dy
2 4 2
direct
0.7500 0.7984 0.7016
0.2500 0.2016 0.2984
0.7990 0.7010 0.2010
0.2990 0.7010 0.2010
0.2010 0.2990 0.7990
0.7010 0.2990 0.7990
0.7500 0.1834 0.3166
0.2500 0.8166 0.6834
```

Results
As for the crystal system: orthorhombic. Its space-group type is Imma (74).



Least stable = version a



Version a
The following is a PBE-GGA calculation of a geometry-optimized La2DyPb structure, from the Alexandria database.

Cell and atoms, written as POSCAR:
```
La2DyPb
1.0
5.1295 0.0000 0.0000
0.0000 4.9433 0.0000
0.0000 0.0000 4.9433
La Dy Pb
2 1 1
direct
0.0000 0.0000 0.5000
0.0000 0.5000 0.0000
0.5000 0.5000 0.5000
0.5000 0.0000 0.0000
```

Results
As for the crystal system: tetragonal. Its space-group type is P4/mmm (123).



Version b
The following is a PBE-GGA calculation of a geometry-optimized La2DyPb structure, from the Alexandria database.

Cell and atoms, written as POSCAR:
```
La2DyPb
1.0
-0.7317 3.7666 2.1444
-2.5161 -2.1400 2.9003
5.5074 -1.1621 3.9204
Pb Dy La
1 1 2
direct
0.5000 0.5000 0.5000
0.5000 0.5000 0.0000
0.0000 0.0000 0.2702
0.0000 0.0000 0.7298
```

Results
As for the crystal system: tetragonal. Its space-group type is P4/mmm (123).



Least stable = version b



Version a
The following is a PBE-GGA calculation of a geometry-optimized La2Dy3Pb4 structure, from the Alexandria database.

Cell and atoms, written as POSCAR:
```
La2Dy3Pb4
1.0
8.2928 -0.1880 0.0000
-2.9032 8.0253 0.0000
0.0000 0.0000 8.5120
Pb La Dy
8 4 6
direct
0.3598 0.4935 0.3601
0.8598 0.4935 0.1399
0.1402 0.5065 0.8601
0.1635 0.9133 0.4572
0.3365 0.0867 0.9572
0.6635 0.9133 0.0428
0.6402 0.5065 0.6399
0.8365 0.0867 0.5428
0.9413 0.8077 0.8212
0.5587 0.1923 0.3212
0.0587 0.1923 0.1788
0.4413 0.8077 0.6788
0.5000 0.5000 0.0000
0.0000 0.5000 0.5000
0.7408 0.2464 0.8406
0.2408 0.2464 0.6594
0.7592 0.7536 0.3406
0.2592 0.7536 0.1594
```

Results
As for the crystal system: monoclinic. Its space-group type is P2_1/c (14).



Version b
The following is a PBE-GGA calculation of a geometry-optimized La2Dy3Pb4 structure, from the Alexandria database.

Cell and atoms, written as POSCAR:
```
La2Dy3Pb4
1.0
-3.0950 -3.0470 -5.7681
-6.0301 -4.1176 5.4107
-3.8247 8.4032 2.1324
La Dy Pb
4 6 8
direct
0.3889 0.0883 0.7778
0.8889 0.4117 0.7778
0.6111 0.9117 0.2222
0.1111 0.5883 0.2222
0.0000 0.0000 0.0000
0.5000 0.5000 0.0000
0.5427 0.7500 0.5855
0.0427 0.7500 0.5855
0.4573 0.2500 0.4145
0.9573 0.2500 0.4145
0.8141 0.0547 0.6281
0.6859 0.5547 0.3719
0.2826 0.2500 0.0652
0.1859 0.9453 0.3719
0.7174 0.7500 0.9348
0.7826 0.2500 0.0652
0.3141 0.4453 0.6281
0.2174 0.7500 0.9348
```

Results
As for the crystal system: orthorhombic. Its space-group type is Cmce (64).



Least stable = version b



Version a
The following is a PBE-GGA calculation of a geometry-optimized La3DyPb2 structure, from the Alexandria database.

Cell and atoms, written as POSCAR:
```
La3DyPb2
1.0
4.7680 0.0000 0.0000
0.0000 4.7680 0.0000
0.0000 0.0000 8.9617
La Pb Dy
3 2 1
direct
0.0000 0.5000 0.6528
0.5000 0.0000 0.3472
0.0000 0.0000 0.0000
0.5000 0.0000 0.7229
0.0000 0.5000 0.2771
0.5000 0.5000 0.0000
```

Results
As for the crystal system: tetragonal. Its space-group type is P-4m2 (115).



Version b
The following is a PBE-GGA calculation of a geometry-optimized La3DyPb2 structure, from the Alexandria database.

Cell and atoms, written as POSCAR:
```
La3DyPb2
1.0
-1.3541 -1.1513 -4.7039
8.7892 -1.8606 -2.0746
-4.8609 -6.4336 5.6660
Dy Pb La
2 4 6
direct
0.0000 0.5000 0.0000
0.0000 0.0000 0.0000
0.6479 0.6470 0.2940
0.3520 0.8530 0.7060
0.3521 0.3530 0.7060
0.6480 0.1470 0.2940
0.5000 0.2500 0.0000
0.8189 0.0700 0.6400
0.8189 0.5700 0.6400
0.1811 0.4300 0.3600
0.5000 0.7500 0.0000
0.1811 0.9300 0.3600
```

Results
As for the crystal system: monoclinic. Its space-group type is P2/m (10).



Least stable = version b